No. 1
Compound: Ti2CdCo
Source: the Alexandria database
Functional: GGA-PBE
Structure: optimized geometry

```
data_Ti2CdCo
_cell_length_a 3.0529
_cell_length_b 3.0529
_cell_length_c 27.4270
_cell_angle_alpha 90.00
_cell_angle_beta 90.00
_cell_angle_gamma 120.00
_symmetry_space_group_name_H-M 'R -3 m'
_symmetry_Int_Tables_number 166
_symmetry_space_group_name_Hall '-R 3 2"'
loop_
_atom_site_label
_atom_site_type_symbol
_atom_site_fract_x
_atom_site_fract_y
_atom_site_fract_z
Ti1 Ti 0.0000 0.0000 0.1081
Cd1 Cd 0.0000 0.0000 0.0000
Co1 Co 0.0000 0.0000 0.5000
```

The value obtained for the formation energy is 243 meV/atom. The value obtained for the density of states at the Fermi level is 14.4 states/eV per cell. Its size of the total moment is 0.00 μB/f.u.

No. 2
Compound: SrYCu3
Source: the Alexandria database
Functional: GGA-PBE
Structure: optimized geometry

```
data_SrYCu3
_cell_length_a 5.092
_cell_length_b 5.092
_cell_length_c 5.092
_cell_angle_alpha 90.00
_cell_angle_beta 90.00
_cell_angle_gamma 90.00
_symmetry_space_group_name_H-M 'P m -3 m'
_symmetry_Int_Tables_number 221
_symmetry_space_group_name_Hall '-P 4 2 3'
loop_
_atom_site_label
_atom_site_type_symbol
_atom_site_fract_x
_atom_site_fract_y
_atom_site_fract_z
Sr1 Sr 0.000 0.000 0.000
Y1 Y 0.500 0.500 0.500
Cu1 Cu 0.000 0.000 0.500
```

The value obtained for the formation energy is 874 meV/atom. The value obtained for the density of states at the Fermi level is 3.1 states/eV per cell. Its size of the total moment is 0.00 μB/f.u. As for the energy above the most stable polymorph in this dataset: 411.9 meV/atom.

No. 3
Compound: La7SmDy3
Source: the Alexandria database
Functional: GGA-PBE
Structure: optimized geometry

```
data_La7SmDy3
_cell_length_a 7.3054
_cell_length_b 7.3054
_cell_length_c 8.6829
_cell_angle_alpha 90.00
_cell_angle_beta 90.00
_cell_angle_gamma 120.00
_symmetry_space_group_name_H-M 'P 3 m 1'
_symmetry_Int_Tables_number 156
loop_
_symmetry_equiv_pos_as_xyz
'x,y,z'
'-y,x-y,z'
'-x+y,-x,z'
'-y,-x,z'
'-x+y,y,z'
'x,x-y,z'
loop_
_atom_site_label
_atom_site_type_symbol
_atom_site_fract_x
_atom_site_fract_y
_atom_site_fract_z
La1 La 0.0000 0.0000 0.0000
La2 La 0.0038 0.5019 0.9693
La3 La 0.1687 0.3374 0.3326
Sm1 Sm 0.6667 0.3333 0.3075
Dy1 Dy 0.3339 0.1670 0.6507
```

The value obtained for the formation energy is 173 meV/atom. The value obtained for the density of states at the Fermi level is 16.8 states/eV per cell. Its size of the total moment is 0.00 μB/f.u.

No. 4
Compound: ReCI3
Source: the Alexandria database
Functional: GGA-PBE
Structure: optimized geometry

```
data_ReCI3
_cell_length_a 5.473
_cell_length_b 5.473
_cell_length_c 5.473
_cell_angle_alpha 90.00
_cell_angle_beta 90.00
_cell_angle_gamma 90.00
_symmetry_space_group_name_H-M 'P m -3 m'
_symmetry_Int_Tables_number 221
_symmetry_space_group_name_Hall '-P 4 2 3'
loop_
_atom_site_label
_atom_site_type_symbol
_atom_site_fract_x
_atom_site_fract_y
_atom_site_fract_z
Re1 Re 0.000 0.000 0.000
C1 C 0.500 0.500 0.500
I1 I 0.000 0.000 0.500
```

As for the uncorrected formation energy: 1.9777 eV per atom. The value obtained for the density of states at the Fermi level is 8.0 states/eV per cell. Its size of the total moment is 4.55 μB/f.u. As for the energy above the most stable polymorph in this dataset: 0.0 meV/atom.

No. 5
Compound: SrScAg
Source: the Alexandria database
Functional: GGA-PBE
Structure: optimized geometry

```
data_SrScAg
_cell_length_a 4.8724
_cell_length_b 4.8724
_cell_length_c 4.4676
_cell_angle_alpha 90.00
_cell_angle_beta 90.00
_cell_angle_gamma 120.00
_symmetry_space_group_name_H-M 'P 3 m 1'
_symmetry_Int_Tables_number 156
loop_
_symmetry_equiv_pos_as_xyz
'x,y,z'
'-y,x-y,z'
'-x+y,-x,z'
'-y,-x,z'
'-x+y,y,z'
'x,x-y,z'
loop_
_atom_site_label
_atom_site_type_symbol
_atom_site_fract_x
_atom_site_fract_y
_atom_site_fract_z
Sr1 Sr 0.0000 0.0000 0.0000
Sc1 Sc 0.3333 0.6667 0.4998
Ag1 Ag 0.6667 0.3333 0.5013
```

The value obtained for the formation energy is 80 meV/atom. The value obtained for the density of states at the Fermi level is 3.1 states/eV per cell. Its size of the total moment is 0.00 μB/f.u. As for the energy above the most stable polymorph in this dataset: 128.3 meV/atom.

No. 6
Compound: AcRhBr
Source: the Alexandria database
Functional: GGA-PBE
Structure: optimized geometry

```
data_AcRhBr
_cell_length_a 7.722
_cell_length_b 4.464
_cell_length_c 11.336
_cell_angle_alpha 90.00
_cell_angle_beta 91.55
_cell_angle_gamma 90.00
_symmetry_space_group_name_H-M 'C 1 2/m 1'
_symmetry_Int_Tables_number 12
loop_
_symmetry_equiv_pos_as_xyz
'x,y,z'
'-x,-y,-z'
'-x,y,-z'
'x,-y,z'
'x+1/2,y+1/2,z'
'-x+1/2,-y+1/2,-z'
'-x+1/2,y+1/2,-z'
'x+1/2,-y+1/2,z'
loop_
_atom_site_label
_atom_site_type_symbol
_atom_site_fract_x
_atom_site_fract_y
_atom_site_fract_z
Ac1 Ac 0.007 0.000 0.174
Rh1 Rh 0.167 0.500 0.996
Br1 Br 0.180 0.500 0.347
```

As for the uncorrected formation energy: -1.2761 eV per atom. The value obtained for the density of states at the Fermi level is 4.8 states/eV per cell. Its size of the total moment is 0.00 μB/f.u. As for the energy above the most stable polymorph in this dataset: 0.4 meV/atom.

No. 7
Compound: Pr2NdCd
Source: the Alexandria database
Functional: GGA-PBE
Structure: optimized geometry

```
data_Pr2NdCd
_cell_length_a 3.7126
_cell_length_b 3.7126
_cell_length_c 33.6636
_cell_angle_alpha 90.00
_cell_angle_beta 90.00
_cell_angle_gamma 120.00
_symmetry_space_group_name_H-M 'R 3 m'
_symmetry_Int_Tables_number 160
_symmetry_space_group_name_Hall 'R 3 -2"'
loop_
_atom_site_label
_atom_site_type_symbol
_atom_site_fract_x
_atom_site_fract_y
_atom_site_fract_z
Pr1 Pr 0.0000 0.0000 0.0000
Pr2 Pr 0.0000 0.0000 0.1798
Nd1 Nd 0.0000 0.0000 0.4229
Cd1 Cd 0.0000 0.0000 0.5898
```

The value obtained for the formation energy is -53 meV/atom. The value obtained for the density of states at the Fermi level is 12.6 states/eV per cell. Its size of the total moment is 0.00 μB/f.u. As for the energy above the most stable polymorph in this dataset: 97.8 meV/atom.

No. 8
Compound: Se2IBr2
Source: the Alexandria database
Functional: GGA-PBE
Structure: optimized geometry

```
data_Se2IBr2
_cell_length_a 6.307
_cell_length_b 13.095
_cell_length_c 6.003
_cell_angle_alpha 90.00
_cell_angle_beta 94.56
_cell_angle_gamma 90.00
_symmetry_space_group_name_H-M 'C 1 2/m 1'
_symmetry_Int_Tables_number 12
loop_
_symmetry_equiv_pos_as_xyz
'x,y,z'
'-x,-y,-z'
'-x,y,-z'
'x,-y,z'
'x+1/2,y+1/2,z'
'-x+1/2,-y+1/2,-z'
'-x+1/2,y+1/2,-z'
'x+1/2,-y+1/2,z'
loop_
_atom_site_label
_atom_site_type_symbol
_atom_site_fract_x
_atom_site_fract_y
_atom_site_fract_z
Se1 Se 0.094 0.000 0.171
I1 I 0.000 0.500 0.000
Br1 Br 0.000 0.145 0.500
```

As for the uncorrected formation energy: 0.1267 eV per atom. The value obtained for the density of states at the Fermi level is 3.9 states/eV per cell. Its size of the total moment is 0.00 μB/f.u. As for the energy above the most stable polymorph in this dataset: 0.7 meV/atom.

No. 9
Compound: Nd2HI5
Source: the Alexandria database
Functional: GGA-PBE
Structure: optimized geometry

```
data_Nd2HI5
_cell_length_a 3.906
_cell_length_b 15.819
_cell_length_c 21.582
_cell_angle_alpha 90.00
_cell_angle_beta 90.00
_cell_angle_gamma 90.00
_symmetry_space_group_name_H-M 'C m c m'
_symmetry_Int_Tables_number 63
_symmetry_space_group_name_Hall '-C 2c 2'
loop_
_atom_site_label
_atom_site_type_symbol
_atom_site_fract_x
_atom_site_fract_y
_atom_site_fract_z
Nd1 Nd 0.000 0.241 0.162
H1 H 0.000 0.220 0.750
I1 I 0.000 0.112 0.628
I2 I 0.000 0.349 0.570
I3 I 0.000 0.400 0.750
```

Its size of the total moment is 0.00 μB/f.u. The calculation puts the electronic total energy at -114.87 eV for the cell shown.

No. 10
Compound: ZrTaMn2
Source: the Alexandria database
Functional: GGA-PBE
Structure: optimized geometry

```
data_ZrTaMn2
_cell_length_a 3.0494
_cell_length_b 3.0494
_cell_length_c 23.5845
_cell_angle_alpha 90.00
_cell_angle_beta 90.00
_cell_angle_gamma 120.00
_symmetry_space_group_name_H-M 'R -3 m'
_symmetry_Int_Tables_number 166
_symmetry_space_group_name_Hall '-R 3 2"'
loop_
_atom_site_label
_atom_site_type_symbol
_atom_site_fract_x
_atom_site_fract_y
_atom_site_fract_z
Zr1 Zr 0.0000 0.0000 0.0000
Ta1 Ta 0.0000 0.0000 0.5000
Mn1 Mn 0.0000 0.0000 0.2464
```

The value obtained for the formation energy is 296 meV/atom. The value obtained for the density of states at the Fermi level is 10.1 states/eV per cell. Its size of the total moment is 0.00 μB/f.u.

No. 11
Compound: Cs5AuS
Source: the Alexandria database
Functional: GGA-PBE
Structure: optimized geometry

```
data_Cs5AuS
_cell_length_a 13.378
_cell_length_b 13.717
_cell_length_c 13.476
_cell_angle_alpha 90.00
_cell_angle_beta 117.60
_cell_angle_gamma 90.00
_symmetry_space_group_name_H-M 'C 1 2/c 1'
_symmetry_Int_Tables_number 15
loop_
_symmetry_equiv_pos_as_xyz
'x,y,z'
'-x,-y,-z'
'-x,y,-z+1/2'
'x,-y,z+1/2'
'x+1/2,y+1/2,z'
'-x+1/2,-y+1/2,-z'
'-x+1/2,y+1/2,-z+1/2'
'x+1/2,-y+1/2,z+1/2'
loop_
_atom_site_label
_atom_site_type_symbol
_atom_site_fract_x
_atom_site_fract_y
_atom_site_fract_z
Cs1 Cs 0.000 0.228 0.250
Cs2 Cs 0.104 0.237 0.644
Cs3 Cs 0.236 0.494 0.499
Au1 Au 0.000 0.038 0.750
S1 S 0.250 0.250 0.500
```

As for the uncorrected formation energy: -0.4848 eV per atom. The value obtained for the density of states at the Fermi level is 13.8 states/eV per cell. Its size of the total moment is 0.10 μB/f.u.

No. 12
Compound: Rb3TeO4
Source: the Alexandria database
Functional: GGA-PBE
Structure: optimized geometry

```
data_Rb3TeO4
_cell_length_a 6.468
_cell_length_b 9.498
_cell_length_c 6.356
_cell_angle_alpha 90.00
_cell_angle_beta 90.00
_cell_angle_gamma 90.00
_symmetry_space_group_name_H-M 'I m m 2'
_symmetry_Int_Tables_number 44
loop_
_symmetry_equiv_pos_as_xyz
'x,y,z'
'-x,-y,z'
'-x,y,z'
'x,-y,z'
'x+1/2,y+1/2,z+1/2'
'-x+1/2,-y+1/2,z+1/2'
'-x+1/2,y+1/2,z+1/2'
'x+1/2,-y+1/2,z+1/2'
loop_
_atom_site_label
_atom_site_type_symbol
_atom_site_fract_x
_atom_site_fract_y
_atom_site_fract_z
Rb1 Rb 0.000 0.000 0.000
Rb2 Rb 0.000 0.238 0.498
Te1 Te 0.000 0.500 0.987
O1 O 0.000 0.299 0.064
O2 O 0.228 0.500 0.804
```

As for the uncorrected formation energy: -1.3219 eV per atom. The value obtained for the density of states at the Fermi level is 3.8 states/eV per cell. Its size of the total moment is 1.00 μB/f.u.

No. 13
Compound: LiCdBi2H
Source: the Alexandria database
Functional: GGA-PBE
Structure: optimized geometry

```
data_LiCdBi2H
_cell_length_a 5.010
_cell_length_b 5.010
_cell_length_c 4.277
_cell_angle_alpha 90.00
_cell_angle_beta 90.00
_cell_angle_gamma 90.00
_symmetry_space_group_name_H-M 'P 4/m m m'
_symmetry_Int_Tables_number 123
_symmetry_space_group_name_Hall '-P 4 2'
loop_
_atom_site_label
_atom_site_type_symbol
_atom_site_fract_x
_atom_site_fract_y
_atom_site_fract_z
Li1 Li 0.000 0.000 0.000
Cd1 Cd 0.500 0.500 0.000
Bi1 Bi 0.000 0.500 0.500
H1 H 0.000 0.000 0.500
```

The value obtained for the density of states at the Fermi level is 1.5 states/eV per cell. Its size of the total moment is 0.00 μB/f.u. The calculation puts the electronic total energy at -13.58 eV for the cell shown.